First-principles (PBE) data for a relaxed BPdNF2 crystal, as listed in Alexandria via LeMat-Bulk. Values from VASP.

```
&SYSTEM
  ibrav = 0, nat = 5, ntyp = 4
/
ATOMIC_SPECIES
B 10.81 B.upf
N 14.01 N.upf
Pd 106.42 Pd.upf
F 19.00 F.upf
CELL_PARAMETERS angstrom
-2.2472 2.0644 -3.1376
0.3131 -3.5406 -2.5538
-3.1788 -1.3042 1.4185
ATOMIC_POSITIONS crystal
B 0.5000 0.5000 0.5000
N 0.0000 0.0000 0.5000
Pd 0.0000 0.0000 0.0000
F 0.0000 0.5000 0.0000
F 0.5000 0.0000 0.0000
```

Crystal system: tetragonal
Magnetic moment, μB/atom: 0.000
Formation energy (no corrections), meV/atom: 772
Volume, A^3/atom: 14.24
Excess energy over the best structure of this formula in the dataset, meV/atom: 1121
DOS(E_F), states/eV/cell: 2.6

First-principles (PBE) data for a relaxed BPdNF2 crystal, as listed in Alexandria via LeMat-Bulk. Values from VASP.

```
&SYSTEM
  ibrav = 0, nat = 5, ntyp = 4
/
ATOMIC_SPECIES
B 10.81 B.upf
N 14.01 N.upf
Pd 106.42 Pd.upf
F 19.00 F.upf
CELL_PARAMETERS angstrom
4.4094 0.0000 0.0000
0.0000 4.4094 0.0000
0.0000 0.0000 2.7127
ATOMIC_POSITIONS crystal
B 0.0000 0.0000 0.0000
N 0.0000 0.0000 0.5000
Pd 0.5000 0.5000 0.5000
F 0.0000 0.5000 0.0000
F 0.5000 0.0000 0.0000
```

Crystal system: tetragonal
Magnetic moment, μB/atom: 0.401
Formation energy (no corrections), meV/atom: -349
Volume, A^3/atom: 10.55
Excess energy over the best structure of this formula in the dataset, meV/atom: 0
DOS(E_F), states/eV/cell: 4.4

First-principles (PBE) data for a relaxed PrBN2F crystal, as listed in Alexandria via LeMat-Bulk. Values from VASP.

```
&SYSTEM
  ibrav = 0, nat = 10, ntyp = 4
/
ATOMIC_SPECIES
Pr 140.91 Pr.upf
B 10.81 B.upf
N 14.01 N.upf
F 19.00 F.upf
CELL_PARAMETERS angstrom
4.0559 0.0000 0.0000
0.0000 7.1918 0.1178
0.0000 -1.5768 6.1269
ATOMIC_POSITIONS crystal
Pr 0.2500 0.8975 0.7149
Pr 0.7500 0.1025 0.2851
B 0.2500 0.3557 0.5861
B 0.7500 0.6443 0.4139
N 0.7500 0.8348 0.4641
N 0.2500 0.1652 0.5359
N 0.7500 0.4500 0.3578
N 0.2500 0.5500 0.6422
F 0.2500 0.1177 0.0643
F 0.7500 0.8823 0.9357
```

Crystal system: monoclinic
Magnetic moment, μB/atom: 0.208
Formation energy (no corrections), meV/atom: -1418
Volume, A^3/atom: 17.95

First-principles (PBE) data for a relaxed BPtNF2 crystal, as listed in Alexandria via LeMat-Bulk. Values from VASP.

```
&SYSTEM
  ibrav = 0, nat = 5, ntyp = 4
/
ATOMIC_SPECIES
B 10.81 B.upf
N 14.01 N.upf
Pt 195.08 Pt.upf
F 19.00 F.upf
CELL_PARAMETERS angstrom
-3.4631 -1.0016 -2.7051
0.4918 -4.3697 0.9883
-2.3172 0.3784 2.8264
ATOMIC_POSITIONS crystal
B 0.5000 0.5000 0.5000
N 0.0000 0.0000 0.5000
Pt 0.0000 0.0000 0.0000
F 0.0000 0.5000 0.0000
F 0.5000 0.0000 0.0000
```

Crystal system: tetragonal
Magnetic moment, μB/atom: 0.000
Formation energy (no corrections), meV/atom: 732
Volume, A^3/atom: 14.93
Excess energy over the best structure of this formula in the dataset, meV/atom: 835
DOS(E_F), states/eV/cell: 1.6

First-principles (PBE) data for a relaxed BPtNF2 crystal, as listed in Alexandria via LeMat-Bulk. Values from VASP.

```
&SYSTEM
  ibrav = 0, nat = 5, ntyp = 4
/
ATOMIC_SPECIES
B 10.81 B.upf
N 14.01 N.upf
Pt 195.08 Pt.upf
F 19.00 F.upf
CELL_PARAMETERS angstrom
4.5285 0.0000 0.0000
0.0000 4.5285 0.0000
0.0000 0.0000 2.6685
ATOMIC_POSITIONS crystal
B 0.0000 0.0000 0.0000
N 0.0000 0.0000 0.5000
Pt 0.5000 0.5000 0.5000
F 0.0000 0.5000 0.0000
F 0.5000 0.0000 0.0000
```

Crystal system: tetragonal
Magnetic moment, μB/atom: 0.369
Formation energy (no corrections), meV/atom: -103
Volume, A^3/atom: 10.94
Excess energy over the best structure of this formula in the dataset, meV/atom: 0
DOS(E_F), states/eV/cell: 3.9

First-principles (PBE) data for a relaxed RbBN2F crystal, as listed in Alexandria via LeMat-Bulk. Values from VASP.

```
&SYSTEM
  ibrav = 0, nat = 5, ntyp = 4
/
ATOMIC_SPECIES
B 10.81 B.upf
N 14.01 N.upf
Rb 85.47 Rb.upf
F 19.00 F.upf
CELL_PARAMETERS angstrom
5.6705 0.0000 0.0000
0.0000 5.6705 0.0000
0.0000 0.0000 5.0682
ATOMIC_POSITIONS crystal
B 0.5000 0.5000 0.5000
N 0.0000 0.5000 0.0000
N 0.5000 0.0000 0.0000
Rb 0.0000 0.0000 0.0000
F 0.0000 0.0000 0.5000
```

Crystal system: tetragonal
Magnetic moment, μB/atom: 1.000
Formation energy (no corrections), meV/atom: 2327
Volume, A^3/atom: 32.59
Excess energy over the best structure of this formula in the dataset, meV/atom: 2107
DOS(E_F), states/eV/cell: 1.8

First-principles (PBE) data for a relaxed RbBN2F crystal, as listed in Alexandria via LeMat-Bulk. Values from VASP.

```
&SYSTEM
  ibrav = 0, nat = 5, ntyp = 4
/
ATOMIC_SPECIES
B 10.81 B.upf
N 14.01 N.upf
Rb 85.47 Rb.upf
F 19.00 F.upf
CELL_PARAMETERS angstrom
3.2959 0.0000 0.0000
0.0000 3.2959 0.0000
0.0000 0.0000 6.6304
ATOMIC_POSITIONS crystal
B 0.0000 0.0000 0.0000
N 0.0000 0.5000 0.0000
N 0.5000 0.0000 0.0000
Rb 0.5000 0.5000 0.5000
F 0.0000 0.0000 0.5000
```

Crystal system: tetragonal
Magnetic moment, μB/atom: 0.061
Formation energy (no corrections), meV/atom: 219
Volume, A^3/atom: 14.41
Excess energy over the best structure of this formula in the dataset, meV/atom: 0
DOS(E_F), states/eV/cell: 2.3

First-principles (PBE) data for a relaxed ReBNF2 crystal, as listed in Alexandria via LeMat-Bulk. Values from VASP.

```
&SYSTEM
  ibrav = 0, nat = 5, ntyp = 4
/
ATOMIC_SPECIES
Re 186.21 Re.upf
B 10.81 B.upf
N 14.01 N.upf
F 19.00 F.upf
CELL_PARAMETERS angstrom
-0.9825 2.5734 1.0761
-2.4222 -1.3529 1.0239
3.1861 -1.2465 5.8899
ATOMIC_POSITIONS crystal
Re 0.5000 0.5000 0.5000
B 0.0000 0.0000 0.0000
N 0.0000 0.0000 0.5000
F 0.0000 0.5000 0.0000
F 0.5000 0.0000 0.0000
```

Crystal system: tetragonal
Magnetic moment, μB/atom: 0.063
Formation energy (no corrections), meV/atom: 98
Volume, A^3/atom: 11.91
Excess energy over the best structure of this formula in the dataset, meV/atom: 0
DOS(E_F), states/eV/cell: 2.4

First-principles (PBE) data for a relaxed ReBNF2 crystal, as listed in Alexandria via LeMat-Bulk. Values from VASP.

```
&SYSTEM
  ibrav = 0, nat = 5, ntyp = 4
/
ATOMIC_SPECIES
Re 186.21 Re.upf
B 10.81 B.upf
N 14.01 N.upf
F 19.00 F.upf
CELL_PARAMETERS angstrom
-2.6949 1.0103 3.0024
-2.9643 -2.1944 -1.9223
1.0220 -3.0970 1.9594
ATOMIC_POSITIONS crystal
Re 0.0000 0.0000 0.0000
B 0.5000 0.5000 0.5000
N 0.0000 0.0000 0.5000
F 0.0000 0.5000 0.0000
F 0.5000 0.0000 0.0000
```

Crystal system: tetragonal
Magnetic moment, μB/atom: 0.000
Formation energy (no corrections), meV/atom: 364
Volume, A^3/atom: 13.16
Excess energy over the best structure of this formula in the dataset, meV/atom: 266
DOS(E_F), states/eV/cell: 3.5

First-principles (PBE) data for a relaxed BRhNF2 crystal, as listed in Alexandria via LeMat-Bulk. Values from VASP.

```
&SYSTEM
  ibrav = 0, nat = 5, ntyp = 4
/
ATOMIC_SPECIES
B 10.81 B.upf
N 14.01 N.upf
Rh 102.91 Rh.upf
F 19.00 F.upf
CELL_PARAMETERS angstrom
4.4266 0.0000 0.0000
0.0000 4.4266 0.0000
0.0000 0.0000 2.6893
ATOMIC_POSITIONS crystal
B 0.0000 0.0000 0.0000
N 0.0000 0.0000 0.5000
Rh 0.5000 0.5000 0.5000
F 0.0000 0.5000 0.0000
F 0.5000 0.0000 0.0000
```

Crystal system: tetragonal
Magnetic moment, μB/atom: 0.592
Formation energy (no corrections), meV/atom: -299
Volume, A^3/atom: 10.54
Excess energy over the best structure of this formula in the dataset, meV/atom: 0
DOS(E_F), states/eV/cell: 2.7

First-principles (PBE) data for a relaxed BRhNF2 crystal, as listed in Alexandria via LeMat-Bulk. Values from VASP.

```
&SYSTEM
  ibrav = 0, nat = 5, ntyp = 4
/
ATOMIC_SPECIES
B 10.81 B.upf
N 14.01 N.upf
Rh 102.91 Rh.upf
F 19.00 F.upf
CELL_PARAMETERS angstrom
-0.1857 2.1570 3.7002
2.1992 -3.1302 1.9350
3.1618 1.7051 -0.8353
ATOMIC_POSITIONS crystal
B 0.5000 0.5000 0.5000
N 0.0000 0.0000 0.5000
Rh 0.0000 0.0000 0.0000
F 0.0000 0.5000 0.0000
F 0.5000 0.0000 0.0000
```

Crystal system: tetragonal
Magnetic moment, μB/atom: 0.000
Formation energy (no corrections), meV/atom: 539
Volume, A^3/atom: 13.56
Excess energy over the best structure of this formula in the dataset, meV/atom: 838
DOS(E_F), states/eV/cell: 2.8

First-principles (PBE) data for a relaxed BRuN2F crystal, as listed in Alexandria via LeMat-Bulk. Values from VASP.

```
&SYSTEM
  ibrav = 0, nat = 5, ntyp = 4
/
ATOMIC_SPECIES
Ru 101.07 Ru.upf
B 10.81 B.upf
N 14.01 N.upf
F 19.00 F.upf
CELL_PARAMETERS angstrom
3.8028 0.0000 0.0000
0.0000 3.8028 0.0000
0.0000 0.0000 4.2262
ATOMIC_POSITIONS crystal
Ru 0.0000 0.0000 0.0000
B 0.5000 0.5000 0.5000
N 0.0000 0.5000 0.0000
N 0.5000 0.0000 0.0000
F 0.0000 0.0000 0.5000
```

Crystal system: tetragonal
Magnetic moment, μB/atom: 0.068
Formation energy (no corrections), meV/atom: 1215
Volume, A^3/atom: 12.22
Excess energy over the best structure of this formula in the dataset, meV/atom: 418
DOS(E_F), states/eV/cell: 2.8

magnetic moment of number 10 (BRhNF2)?
0.592 μB/atom

Look up the magnetic moment of the twelfth one.
0.068 μB/atom

Among the records above, which one has the highest volume?
number 6